# 1
A crystal of Rb2TaF7 relaxed with PBEsol. Source: Alexandria via LeMat-Bulk, functional meta-GGA SCAN.

a b c (Å): 5.9394 5.8719 10.3574
angles (deg): 90.00 90.00 90.00
Positions (direct):
F  0.2004  0.5000  0.6061
F  0.7996  0.5000  0.6061
F  0.7004  0.0000  0.3939
F  0.7851  0.7424  0.7979
F  0.2851  0.7576  0.2021
F  0.2149  0.2576  0.7979
F  0.7149  0.7576  0.2021
F  0.5000  0.0000  0.0496
F  0.0000  0.5000  0.9504
F  0.7149  0.2424  0.2021
F  0.2149  0.7424  0.7979
F  0.2851  0.2424  0.2021
F  0.7851  0.2576  0.7979
F  0.2996  0.0000  0.3939
Rb  0.0000  0.0000  0.0046
Rb  0.5000  0.5000  0.9954
Rb  0.5000  0.0000  0.6400
Rb  0.0000  0.5000  0.3600
Ta  0.0000  0.5000  0.7567
Ta  0.5000  0.0000  0.2433

Output
Symmetry: Pmmn

# 2
A crystal of RbTaF3 relaxed with PBEsol. Source: Alexandria via LeMat-Bulk, functional meta-GGA SCAN.

a b c (Å): 4.7558 4.7558 4.7558
angles (deg): 90.00 90.00 90.00
Last column: magnetic moment on the atom in μB.
Positions (direct):
Ta  0.5000  0.5000  0.5000  2.12
F  0.0000  0.5000  0.0000  -0.02
F  0.5000  0.0000  0.0000  -0.02
F  0.0000  0.0000  0.5000  -0.02
Rb  0.0000  0.0000  0.0000  0.00

Output
Symmetry: Pm-3m

# 3
A crystal of Rb2TbF6 relaxed with PBEsol. Source: Alexandria via LeMat-Bulk, functional meta-GGA SCAN.

a b c (Å): 6.8144 6.8144 7.3271
angles (deg): 90.89 90.89 117.24
Last column: magnetic moment on the atom in μB.
Positions (direct):
F  0.3092  0.3017  0.7357  0.22
F  0.6119  0.0015  0.7285  0.24
F  0.3017  0.3092  0.2357  0.22
F  0.3881  0.9985  0.2715  0.24
F  0.9985  0.3881  0.7715  0.24
F  0.9304  0.1376  0.4551  0.03
F  0.8624  0.0696  0.0449  0.03
F  0.6908  0.6983  0.2643  0.22
F  0.1376  0.9304  0.9551  0.03
F  0.0696  0.8624  0.5449  0.03
F  0.0015  0.6119  0.2285  0.24
F  0.6983  0.6908  0.7643  0.22
Tb  0.9602  0.0398  0.7500  -0.03
Tb  0.0398  0.9602  0.2500  -0.03
Rb  0.3614  0.6778  0.9992  0.00
Rb  0.6386  0.3222  0.0008  0.00
Rb  0.3222  0.6386  0.5008  0.00
Rb  0.6778  0.3614  0.4992  0.00

Output
Symmetry: C2/c

# 4
A crystal of RbTcF2 relaxed with PBEsol. Source: Alexandria via LeMat-Bulk, functional meta-GGA SCAN.

a b c (Å): 3.1798 3.1798 7.8743
angles (deg): 78.35 78.35 60.00
Last column: magnetic moment on the atom in μB.
Positions (direct):
Rb  0.5000  0.5000  0.5000  0.00
Tc  0.0000  0.0000  0.0000  2.36
F  0.0865  0.0865  0.7406  0.06
F  0.9135  0.9135  0.2594  0.06

Output
Symmetry: R-3m

# 5
A crystal of RbTiF2 relaxed with PBEsol. Source: Alexandria via LeMat-Bulk, functional meta-GGA SCAN.

a b c (Å): 4.4855 4.4855 4.4855
angles (deg): 60.00 60.00 60.00
Last column: magnetic moment on the atom in μB.
Positions (direct):
F  0.2500  0.2500  0.2500  -0.01
F  0.7500  0.7500  0.7500  -0.01
Rb  0.5000  0.5000  0.5000  0.09
Ti  0.0000  0.0000  0.0000  2.36

Output
Symmetry: Fm-3m

# 6
A crystal of Rb3TiF6 relaxed with PBEsol. Source: Alexandria via LeMat-Bulk, functional meta-GGA SCAN.

a b c (Å): 6.4503 6.4503 6.4503
angles (deg): 60.00 60.00 60.00
Last column: magnetic moment on the atom in μB.
Positions (direct):
Rb  0.2500  0.2500  0.2500  0.00
Rb  0.7500  0.7500  0.7500  0.00
Rb  0.5000  0.5000  0.5000  0.00
F  0.2157  0.2157  0.7843  0.00
F  0.7843  0.2157  0.2157  0.00
F  0.7843  0.7843  0.2157  0.00
F  0.2157  0.7843  0.7843  0.00
F  0.2157  0.7843  0.2157  0.00
F  0.7843  0.2157  0.7843  0.00
Ti  0.0000  0.0000  0.0000  0.93

Output
Symmetry: Fm-3m

# 7
A crystal of RbTl3F relaxed with PBEsol. Source: Alexandria via LeMat-Bulk, functional meta-GGA SCAN.

a b c (Å): 5.3456 5.3456 5.3456
angles (deg): 90.00 90.00 90.00
Positions (direct):
Tl  0.0000  0.5000  0.0000
Tl  0.5000  0.0000  0.0000
Tl  0.0000  0.0000  0.5000
Rb  0.5000  0.5000  0.5000
F  0.0000  0.0000  0.0000

Output
Symmetry: Pm-3m

# 8
A crystal of Rb3TlF6 relaxed with PBEsol. Source: Alexandria via LeMat-Bulk, functional meta-GGA SCAN.

a b c (Å): 6.8313 6.8313 6.8313
angles (deg): 90.03 119.98 119.98
Positions (direct):
Rb  0.5000  0.2500  0.7500
Rb  0.0000  0.5000  0.5000
Rb  0.5000  0.7500  0.2500
F  0.3131  0.3131  0.0000
F  0.6869  0.6869  0.0000
F  0.3131  0.0000  0.3131
F  0.6869  0.0000  0.6869
F  0.0000  0.2328  0.2328
F  0.0000  0.7672  0.7672
Tl  0.0000  0.0000  0.0000

Output
Symmetry: I4/mmm

# 9
A crystal of Rb3TlF6 relaxed with PBEsol. Source: Alexandria via LeMat-Bulk, functional meta-GGA SCAN.

a b c (Å): 6.7103 6.7103 6.7103
angles (deg): 60.00 60.00 60.00
Positions (direct):
Tl  0.0000  0.0000  0.0000
Rb  0.5000  0.5000  0.5000
Rb  0.2500  0.2500  0.2500
Rb  0.7500  0.7500  0.7500
F  0.7721  0.2279  0.2279
F  0.2279  0.7721  0.2279
F  0.2279  0.7721  0.7721
F  0.7721  0.2279  0.7721
F  0.7721  0.7721  0.2279
F  0.2279  0.2279  0.7721

Output
Symmetry: Fm-3m

# 10
A crystal of Rb2TlF2 relaxed with PBEsol. Source: Alexandria via LeMat-Bulk, functional meta-GGA SCAN.

a b c (Å): 4.8462 4.8462 7.5246
angles (deg): 108.79 108.79 90.00
Last column: magnetic moment on the atom in μB.
Positions (direct):
F  0.2500  0.7500  0.5000  0.00
F  0.7500  0.2500  0.5000  0.00
Tl  0.0000  0.0000  0.0000  0.17
Rb  0.3261  0.3261  0.6523  0.01
Rb  0.6739  0.6739  0.3477  0.01

Output
Symmetry: I4/mmm

# 11
A crystal of RbYF2 relaxed with PBEsol. Source: Alexandria via LeMat-Bulk, functional meta-GGA SCAN.

a b c (Å): 5.7220 5.7220 7.7687
angles (deg): 111.61 111.61 90.00
Last column: magnetic moment on the atom in μB.
Positions (direct):
F  0.1570  0.8750  0.2500  0.02
F  0.1250  0.9070  0.7500  0.02
F  0.0930  0.3750  0.2500  0.02
F  0.6250  0.8430  0.7500  0.02
Y  0.2500  0.7500  0.5000  0.32
Y  0.0000  0.0000  0.0000  0.32
Rb  0.5000  0.5000  0.0000  0.06
Rb  0.7500  0.2500  0.5000  0.06

Output
Symmetry: I-42d

# 12
A crystal of Rb3YF6 relaxed with PBEsol. Source: Alexandria via LeMat-Bulk, functional meta-GGA SCAN.

a b c (Å): 6.8560 6.8560 6.8560
angles (deg): 87.80 61.26 118.74
Positions (direct):
F  0.3068  0.3068  0.0000
F  0.0000  0.2301  0.7699
F  0.6932  0.0000  0.3068
F  0.3068  0.0000  0.6932
F  0.0000  0.7699  0.2301
F  0.6932  0.6932  0.0000
Rb  0.5000  0.2500  0.2500
Rb  0.0000  0.5000  0.5000
Rb  0.5000  0.7500  0.7500
Y  0.0000  0.0000  0.0000

Output
Symmetry: I4/mmm

# 13
A crystal of Rb3YF6 relaxed with PBEsol. Source: Alexandria via LeMat-Bulk, functional meta-GGA SCAN.

a b c (Å): 6.7123 6.7123 6.7123
angles (deg): 60.00 60.00 60.00
Positions (direct):
F  0.7738  0.7738  0.2262
F  0.7738  0.2262  0.7738
F  0.2262  0.7738  0.2262
F  0.7738  0.2262  0.2262
F  0.2262  0.7738  0.7738
F  0.2262  0.2262  0.7738
Rb  0.7500  0.7500  0.7500
Rb  0.5000  0.5000  0.5000
Rb  0.2500  0.2500  0.2500
Y  0.0000  0.0000  0.0000

Output
Symmetry: Fm-3m

# 14
A crystal of RbZnF2 relaxed with PBEsol. Source: Alexandria via LeMat-Bulk, functional meta-GGA SCAN.

a b c (Å): 3.5790 3.5790 7.3550
angles (deg): 75.92 75.92 60.00
Positions (direct):
Rb  0.0000  0.0000  0.0000
Zn  0.5000  0.5000  0.5000
F  0.1231  0.1231  0.6308
F  0.8769  0.8769  0.3692

Output
Symmetry: R-3m

# 15
A crystal of Rb2ZnF4 relaxed with PBEsol. Source: Alexandria via LeMat-Bulk, functional meta-GGA SCAN.

a b c (Å): 4.1315 4.1315 7.3960
angles (deg): 106.22 106.22 90.00
Positions (direct):
F  0.0000  0.5000  0.0000
F  0.5000  0.0000  0.0000
F  0.8515  0.8515  0.7030
F  0.1485  0.1485  0.2970
Rb  0.3542  0.3542  0.7083
Rb  0.6458  0.6458  0.2917
Zn  0.0000  0.0000  0.0000

Output
Symmetry: I4/mmm

# 16
A crystal of RbZnF3 relaxed with PBEsol. Source: Alexandria via LeMat-Bulk, functional meta-GGA SCAN.

a b c (Å): 5.8848 5.8848 14.4272
angles (deg): 90.00 90.00 120.00
Positions (direct):
Zn  0.0000  0.0000  0.5000
Zn  0.0000  0.0000  0.0000
Zn  0.3333  0.6667  0.8461
Zn  0.6667  0.3333  0.1539
Zn  0.3333  0.6667  0.6539
Zn  0.6667  0.3333  0.3461
F  0.3308  0.1654  0.0801
F  0.0311  0.5155  0.7500
F  0.8346  0.6692  0.4199
F  0.8346  0.1654  0.4199
F  0.3308  0.1654  0.4199
F  0.8346  0.6692  0.0801
F  0.1654  0.8346  0.5801
F  0.8346  0.1654  0.0801
F  0.1654  0.3308  0.5801
F  0.6692  0.8346  0.5801
F  0.9689  0.4845  0.2500
F  0.4845  0.5155  0.7500
F  0.1654  0.3308  0.9199
F  0.5155  0.4845  0.2500
F  0.1654  0.8346  0.9199
F  0.4845  0.9689  0.7500
F  0.5155  0.0311  0.2500
F  0.6692  0.8346  0.9199
Rb  0.3333  0.6667  0.0959
Rb  0.0000  0.0000  0.2500
Rb  0.0000  0.0000  0.7500
Rb  0.6667  0.3333  0.9041
Rb  0.6667  0.3333  0.5959
Rb  0.3333  0.6667  0.4041

Output
Symmetry: P6_3/mmc

# 17
A crystal of RbZr2F relaxed with PBEsol. Source: Alexandria via LeMat-Bulk, functional meta-GGA SCAN.

a b c (Å): 4.9519 4.9519 4.9519
angles (deg): 60.00 60.00 60.00
Positions (direct):
F  0.0000  0.0000  0.0000
Zr  0.2500  0.2500  0.2500
Zr  0.7500  0.7500  0.7500
Rb  0.5000  0.5000  0.5000

Output
Symmetry: Fm-3m

# 18
A crystal of Rb3ZrF relaxed with PBEsol. Source: Alexandria via LeMat-Bulk, functional meta-GGA SCAN.

a b c (Å): 6.7866 6.7866 6.7866
angles (deg): 90.00 90.00 90.00
Last column: magnetic moment on the atom in μB.
Positions (direct):
F  0.5000  0.5000  0.5000  -0.01
Rb  0.0000  0.5000  0.0000  0.06
Rb  0.0000  0.0000  0.5000  0.06
Rb  0.5000  0.0000  0.0000  0.06
Zr  0.0000  0.0000  0.0000  1.99

Output
Symmetry: Pm-3m

# 19
A crystal of ReF7 relaxed with PBEsol. Source: Alexandria via LeMat-Bulk, functional meta-GGA SCAN.

a b c (Å): 5.1888 5.1868 9.3690
angles (deg): 92.09 92.58 114.06
Positions (direct):
Re  0.1381  0.8718  0.7535
Re  0.8619  0.1282  0.2465
F  0.1980  0.1411  0.6155
F  0.4216  0.1552  0.8631
F  0.3658  0.8106  0.6182
F  0.0571  0.2748  0.0839
F  0.1556  0.4101  0.3517
F  0.1067  0.9485  0.2153
F  0.6342  0.1894  0.3818
F  0.2911  0.6327  0.8318
F  0.8933  0.0515  0.7847
F  0.8444  0.5899  0.6483
F  0.9429  0.7252  0.9161
F  0.7089  0.3673  0.1682
F  0.8020  0.8589  0.3845
F  0.5784  0.8448  0.1369

Output
Symmetry: P-1

# 20
A crystal of Re2RuF relaxed with PBEsol. Source: Alexandria via LeMat-Bulk, functional meta-GGA SCAN.

a b c (Å): 4.2136 4.2136 4.2136
angles (deg): 60.00 60.00 60.00
Positions (direct):
F  0.0000  0.0000  0.0000
Re  0.2500  0.2500  0.2500
Re  0.7500  0.7500  0.7500
Ru  0.5000  0.5000  0.5000

Output
Symmetry: Fm-3m

no.,raw total energy (eV/atom)
1,-16.6565
2,-19.8892
3,-15.4320
4,-17.2427
5,-12.5116
6,-13.1591
7,-48.9280
8,-18.0633
9,-18.1080
10,-26.0397
11,-16.4004
12,-14.5575
13,-14.6035
14,-11.9741
15,-12.6855
16,-11.7257
17,-20.4266
18,-18.8400
19,-14.0290
20,-44.8080